# 1
An optimized crystal structure of ScSbI2. Source: the Alexandria database, functional PBE.

a = 5.4097 Å, b = 5.4097 Å, c = 5.4097 Å
α = 60.00°, β = 60.00°, γ = 60.00°
Positions (direct):
I 0.2500 0.2500 0.2500
I 0.7500 0.7500 0.7500
Sb 0.5000 0.5000 0.5000
Sc 0.0000 0.0000 0.0000

Properties
Relative energy among the computed polymorphs: 0.365 eV per atom
E_form (uncorrected): -0.07 eV per atom
Electronic total energy: -3.4633 eV/atom
M_tot: 0.0000 μB per atom
Crystal system: cubic


# 2
An optimized crystal structure of Ta4AlW3. Source: the Alexandria database, functional PBE.

a = 3.2960 Å, b = 4.5284 Å, c = 9.1303 Å
α = 90.00°, β = 90.00°, γ = 90.00°
Positions (direct):
Al 0.5000 0.5000 0.0000
W 0.5000 0.0000 0.2427
W 0.5000 0.5000 0.5000
W 0.5000 0.0000 0.7573
Ta 0.0000 0.0000 0.5000
Ta 0.0000 0.5000 0.7472
Ta 0.0000 0.0000 0.0000
Ta 0.0000 0.5000 0.2528

Properties
Energy of formation: -124.8 meV/atom
Electronic total energy: -11.3764 eV/atom
M_tot: 0.0000 μB per atom
Crystal system: orthorhombic


# 3
An optimized crystal structure of BaCaIn2Pd2. Source: the Alexandria database, functional PBE.

a = 4.8622 Å, b = 4.8622 Å, c = 7.8804 Å
α = 90.00°, β = 90.00°, γ = 120.00°
Positions (direct):
Ba 0.0000 0.0000 0.0000
Ca 0.0000 0.0000 0.5000
In 0.6667 0.3333 0.6933
In 0.3333 0.6667 0.3067
Pd 0.6667 0.3333 0.3166
Pd 0.3333 0.6667 0.6834

Properties
Energy of formation: -608.6 meV/atom
Electronic total energy: -3.9064 eV/atom
M_tot: 0.0000 μB per atom
Crystal system: trigonal


# 4
An optimized crystal structure of Sc2MnP. Source: the Alexandria database, functional PBE.

a = 7.3503 Å, b = 7.3503 Å, c = 5.9256 Å
α = 51.67°, β = 51.67°, γ = 90.00°
Last column: magnetic moment on the atom in μB.
Positions (direct):
Sc 0.5963 0.1250 0.2500  -0.34
Sc 0.1537 0.6250 0.2500  -0.34
Sc 0.3750 0.4037 0.7500  -0.34
Sc 0.8750 0.8463 0.7500  -0.34
P 0.5000 0.5000 0.0000  0.01
P 0.2500 0.7500 0.5000  0.01
Mn 0.0000 0.0000 0.0000  3.49
Mn 0.7500 0.2500 0.5000  3.48

Properties
Energy of formation: -147.3 meV/atom
Electronic total energy: -6.9579 eV/atom
M_tot: 0.6745 μB per atom
Crystal system: tetragonal


# 5
An optimized crystal structure of ZrNiRu. Source: the Alexandria database, functional PBE.

a = 4.4438 Å, b = 4.4490 Å, c = 5.4317 Å
α = 89.26°, β = 89.52°, γ = 60.12°
Positions (direct):
Zr 0.2324 0.8406 0.0066
Zr 0.8978 0.5011 0.4204
Ni 0.8996 0.5080 0.9123
Ni 0.5651 0.1708 0.7216
Ru 0.5651 0.1711 0.2131
Ru 0.2307 0.8335 0.5097

Properties
Relative energy among the computed polymorphs: 0.088 eV per atom
Energy of formation: -318.1 meV/atom
Electronic total energy: -8.1866 eV/atom
M_tot: 0.0000 μB per atom
Crystal system: triclinic


# 6
An optimized crystal structure of BaSrRu. Source: the Alexandria database, functional PBE.

a = 5.0912 Å, b = 5.0912 Å, c = 4.0516 Å
α = 90.00°, β = 90.00°, γ = 120.00°
Positions (direct):
Ba 0.0000 0.0000 0.1199
Ru 0.6667 0.3333 0.2431
Sr 0.3333 0.6667 0.6370

Properties
Relative energy among the computed polymorphs: 0.153 eV per atom
Energy of formation: 593.8 meV/atom
Electronic total energy: -3.6996 eV/atom
M_tot: 0.0000 μB per atom
Crystal system: trigonal


# 7
An optimized crystal structure of Ba3YCu. Source: the Alexandria database, functional PBE.

a = 6.4809 Å, b = 6.4809 Å, c = 6.4809 Å
α = 90.00°, β = 90.00°, γ = 90.00°
Positions (direct):
Y 0.0000 0.0000 0.0000
Ba 0.0000 0.5000 0.0000
Ba 0.0000 0.0000 0.5000
Ba 0.5000 0.0000 0.0000
Cu 0.5000 0.5000 0.5000

Properties
Relative energy among the computed polymorphs: 0.623 eV per atom
Energy of formation: 910.7 meV/atom
Electronic total energy: -2.3550 eV/atom
M_tot: 0.0000 μB per atom
Crystal system: cubic


# 8
An optimized crystal structure of Cs4HgCl6. Source: the Alexandria database, functional PBE.

a = 9.4913 Å, b = 9.4913 Å, c = 9.4478 Å
α = 90.00°, β = 90.00°, γ = 90.00°
Positions (direct):
Cs 0.3409 0.1591 0.2500
Cs 0.1591 0.6591 0.7500
Cs 0.6591 0.8409 0.7500
Cs 0.8409 0.3409 0.7500
Cs 0.3409 0.1591 0.7500
Cs 0.1591 0.6591 0.2500
Cs 0.8409 0.3409 0.2500
Cs 0.6591 0.8409 0.2500
Hg 0.5000 0.5000 0.0000
Hg 0.0000 0.0000 0.5000
Cl 0.2998 0.8902 0.5000
Cl 0.7998 0.6098 0.0000
Cl 0.6098 0.2002 0.0000
Cl 0.1098 0.2998 0.5000
Cl 0.0000 0.0000 0.2392
Cl 0.5000 0.5000 0.2608
Cl 0.3902 0.7998 0.0000
Cl 0.0000 0.0000 0.7608
Cl 0.2002 0.3902 0.0000
Cl 0.5000 0.5000 0.7392
Cl 0.8902 0.7002 0.5000
Cl 0.7002 0.1098 0.5000

Properties
E_form (uncorrected): -1.61 eV per atom
Electronic total energy: -2.9516 eV/atom
M_tot: 0.0000 μB per atom
Crystal system: tetragonal


Question: What is the electronic total energy in the second record?
Answer: -11.3764 eV/atom


Question: Number 5 is which compound?
Answer: ZrNiRu